1.
PBE KSb2P, relaxed; E = -3.51 eV per atom; M_tot = 0.00 μB per formula unit; uncorrected formation energy = 0.181 eV per atom; DOS at the Fermi energy = 2.1 states/eV/f.u.
1.0
3.7756 0.0000 0.0000
0.0000 4.1424 0.0000
0.0000 0.0000 7.2489
K Sb P
1 2 1
direct
0.0000 0.0000 0.0000 K
0.5000 0.5000 0.3139 Sb
0.5000 0.5000 0.6861 Sb
0.0000 0.0000 0.5000 P

2.
PBE Rb3Li2TlCl9, relaxed; E = -3.12 eV per atom; M_tot = 0.90 μB per formula unit; uncorrected formation energy = -1.404 eV per atom; DOS at the Fermi energy = 16.6 states/eV/f.u.
1.0
7.2836 0.0000 0.0000
-3.6418 6.3078 0.0000
0.0000 0.0000 9.0918
Rb Li Tl Cl
3 2 1 9
direct
0.0000 0.0000 0.0000 Rb
0.3333 0.6667 0.6734 Rb
0.6667 0.3333 0.3266 Rb
0.3333 0.6667 0.1379 Li
0.6667 0.3333 0.8621 Li
0.0000 0.0000 0.5000 Tl
0.0000 0.5000 0.0000 Cl
0.1685 0.3370 0.3324 Cl
0.1685 0.8315 0.3324 Cl
0.3370 0.1685 0.6676 Cl
0.5000 0.0000 0.0000 Cl
0.5000 0.5000 0.0000 Cl
0.6630 0.8315 0.3324 Cl
0.8315 0.1685 0.6676 Cl
0.8315 0.6630 0.6676 Cl

3.
PBE CsHfCu2, relaxed; E = -3.65 eV per atom; energy of formation from the pure elements = 1100 meV/atom; energy above the lowest structure with this stoichiometry = 0.1328 eV per atom; M_tot = 0.00 μB per formula unit; DOS at the Fermi energy = 4.4 states/eV/f.u.
1.0
7.1899 0.0000 0.0000
0.0000 7.1899 0.0000
0.0000 0.0000 7.1899
Cs Hf Cu
4 4 8
direct
0.0000 0.0000 0.0000 Cs
0.0000 0.5000 0.5000 Cs
0.5000 0.0000 0.5000 Cs
0.5000 0.5000 0.0000 Cs
0.0000 0.0000 0.5000 Hf
0.0000 0.5000 0.0000 Hf
0.5000 0.0000 0.0000 Hf
0.5000 0.5000 0.5000 Hf
0.2500 0.2500 0.2500 Cu
0.2500 0.2500 0.7500 Cu
0.2500 0.7500 0.2500 Cu
0.2500 0.7500 0.7500 Cu
0.7500 0.2500 0.2500 Cu
0.7500 0.2500 0.7500 Cu
0.7500 0.7500 0.2500 Cu
0.7500 0.7500 0.7500 Cu

4.
PBE DyAl2Br8, relaxed; E = -3.52 eV per atom; M_tot = 0.97 μB per formula unit; uncorrected formation energy = -1.208 eV per atom; DOS at the Fermi energy = 1.8 states/eV/f.u.
1.0
6.6931 -5.0533 0.0000
6.6931 5.0533 0.0000
-1.0015 0.0000 6.7120
Dy Al Br
1 2 8
direct
0.0000 0.0000 0.0000 Dy
0.1938 0.1938 0.6477 Al
0.8062 0.8062 0.3523 Al
0.0778 0.7218 0.2335 Br
0.1816 0.1816 0.2866 Br
0.2782 0.9222 0.7665 Br
0.3615 0.3615 0.7745 Br
0.6385 0.6385 0.2255 Br
0.7218 0.0778 0.2335 Br
0.8184 0.8184 0.7134 Br
0.9222 0.2782 0.7665 Br

5.
PBE Pm2Sn2Pd, relaxed; E = -5.38 eV per atom; energy of formation from the pure elements = -844 meV/atom; energy above the lowest structure with this stoichiometry = 0.0000 eV per atom; M_tot = 0.00 μB per formula unit; DOS at the Fermi energy = 3.7 states/eV/f.u.
1.0
5.6363 -2.3185 0.0000
5.6363 2.3185 0.0000
-5.0462 0.0000 9.9497
Pm Sn Pd
4 4 2
direct
0.0074 0.0074 0.3317 Pm
0.1824 0.1824 0.1125 Pm
0.8176 0.8176 0.8875 Pm
0.9926 0.9926 0.6683 Pm
0.3497 0.3497 0.4371 Sn
0.4707 0.4707 0.1183 Sn
0.5293 0.5293 0.8817 Sn
0.6503 0.6503 0.5629 Sn
0.2825 0.2825 0.6594 Pd
0.7175 0.7175 0.3406 Pd

6.
PBE KZnRu2, relaxed; E = -4.24 eV per atom; energy of formation from the pure elements = 991 meV/atom; M_tot = 1.46 μB per formula unit; DOS at the Fermi energy = 4.2 states/eV/f.u.
1.0
5.6754 0.0000 0.0000
0.0000 10.0479 0.0000
-1.1849 0.0000 2.4273
K Zn Ru
2 2 4
direct
0.0000 0.0000 0.0000 K
0.5000 0.5000 0.0000 K
0.0000 0.5000 0.0000 Zn
0.5000 0.0000 0.0000 Zn
0.2500 0.2500 0.5000 Ru
0.2500 0.7500 0.5000 Ru
0.7500 0.2500 0.5000 Ru
0.7500 0.7500 0.5000 Ru

7.
PBE HoZr2Cu9, relaxed; E = -5.03 eV per atom; energy of formation from the pure elements = -148 meV/atom; M_tot = 0.00 μB per formula unit; DOS at the Fermi energy = 6.3 states/eV/f.u.
1.0
2.5335 1.4627 8.1416
-2.5335 1.4627 8.1416
0.0000 -2.9254 8.1416
Ho Zr Cu
1 2 9
direct
0.0000 0.0000 0.0000 Ho
0.1509 0.1509 0.1509 Zr
0.8491 0.8491 0.8491 Zr
0.0836 0.5836 0.5836 Cu
0.3324 0.3324 0.3324 Cu
0.4164 0.4164 0.9164 Cu
0.4164 0.9164 0.4164 Cu
0.5000 0.5000 0.5000 Cu
0.5836 0.0836 0.5836 Cu
0.5836 0.5836 0.0836 Cu
0.6676 0.6676 0.6676 Cu
0.9164 0.4164 0.4164 Cu

8.
PBE Sn2SbPd4, relaxed; E = -4.62 eV per atom; energy above the lowest structure with this stoichiometry = 0.5036 eV per atom; M_tot = 0.00 μB per formula unit; uncorrected formation energy = 0.078 eV per atom; DOS at the Fermi energy = 2.5 states/eV/f.u.
1.0
4.9761 0.0000 0.0000
0.0000 4.9761 0.0000
0.0000 0.0000 13.5764
Sn Sb Pd
4 2 8
direct
0.0000 0.0000 0.1214 Sn
0.0000 0.0000 0.8786 Sn
0.5000 0.5000 0.3786 Sn
0.5000 0.5000 0.6214 Sn
0.0000 0.0000 0.5000 Sb
0.5000 0.5000 0.0000 Sb
0.0000 0.0000 0.3125 Pd
0.0000 0.0000 0.6875 Pd
0.0000 0.5000 0.0000 Pd
0.0000 0.5000 0.5000 Pd
0.5000 0.0000 0.0000 Pd
0.5000 0.0000 0.5000 Pd
0.5000 0.5000 0.1875 Pd
0.5000 0.5000 0.8125 Pd

9.
PBE AcLaSnBr, relaxed; E = -4.67 eV per atom; M_tot = 0.00 μB per formula unit; uncorrected formation energy = -0.994 eV per atom; DOS at the Fermi energy = 2.5 states/eV/f.u.
1.0
7.9579 0.0000 0.0000
0.0000 7.9579 0.0000
0.0000 0.0000 7.9579
Ac La Sn Br
4 4 4 4
direct
0.0000 0.0000 0.0000 Ac
0.0000 0.5000 0.5000 Ac
0.5000 0.0000 0.5000 Ac
0.5000 0.5000 0.0000 Ac
0.0000 0.0000 0.5000 La
0.0000 0.5000 0.0000 La
0.5000 0.0000 0.0000 La
0.5000 0.5000 0.5000 La
0.2500 0.2500 0.7500 Sn
0.2500 0.7500 0.2500 Sn
0.7500 0.2500 0.2500 Sn
0.7500 0.7500 0.7500 Sn
0.2500 0.2500 0.2500 Br
0.2500 0.7500 0.7500 Br
0.7500 0.2500 0.7500 Br
0.7500 0.7500 0.2500 Br

10.
PBE FeCu2W, relaxed; E = -7.19 eV per atom; energy of formation from the pure elements = 214 meV/atom; energy above the lowest structure with this stoichiometry = 0.0085 eV per atom; M_tot = 2.48 μB per formula unit; DOS at the Fermi energy = 3.6 states/eV/f.u.
1.0
2.6261 0.0000 0.0000
0.0000 2.6261 0.0000
0.0000 0.0000 7.5803
Fe Cu W
1 2 1
direct
0.0000 0.0000 0.0000 Fe
0.0000 0.0000 0.5351 Cu
0.5000 0.5000 0.7688 Cu
0.5000 0.5000 0.2699 W

11.
PBE LiHo2Cu16, relaxed; E = -4.17 eV per atom; energy of formation from the pure elements = -136 meV/atom; M_tot = 0.00 μB per formula unit; DOS at the Fermi energy = 9.0 states/eV/f.u.
1.0
4.2619 2.4606 4.1955
-4.2619 2.4606 4.1955
0.0000 -4.9212 4.1955
Li Ho Cu
1 2 16
direct
0.0000 0.0000 0.0000 Li
0.4312 0.4312 0.4312 Ho
0.7438 0.7438 0.7438 Ho
0.0943 0.3950 0.7943 Cu
0.0943 0.7943 0.3950 Cu
0.0952 0.0952 0.5924 Cu
0.0952 0.5924 0.0952 Cu
0.1923 0.1923 0.1923 Cu
0.2524 0.7470 0.7470 Cu
0.3950 0.0943 0.7943 Cu
0.3950 0.7943 0.0943 Cu
0.4387 0.4387 0.9384 Cu
0.4387 0.9384 0.4387 Cu
0.5924 0.0952 0.0952 Cu
0.7470 0.2524 0.7470 Cu
0.7470 0.7470 0.2524 Cu
0.7943 0.0943 0.3950 Cu
0.7943 0.3950 0.0943 Cu
0.9384 0.4387 0.4387 Cu

12.
PBE Sr2LiSi, relaxed; E = -2.76 eV per atom; M_tot = 0.44 μB per formula unit; uncorrected formation energy = -0.089 eV per atom; DOS at the Fermi energy = 3.0 states/eV/f.u.
1.0
12.8065 0.0000 0.0000
0.0000 4.0313 0.0000
-2.2076 0.0000 4.8450
Sr Li Si
4 2 2
direct
0.0000 0.0000 0.0000 Sr
0.2040 0.0000 0.7036 Sr
0.5000 0.5000 0.0000 Sr
0.7040 0.5000 0.7036 Sr
0.3350 0.5000 0.3348 Li
0.8350 0.0000 0.3348 Li
0.4818 0.0000 0.4822 Si
0.9818 0.5000 0.4822 Si